DFT (PBE-GGA) results for a relaxed YSi2Se crystal.

**Volume**: 83 Å³/cell
**Raw total energy**: -21.24 eV for the cell shown

Cell: 4.8866 4.8866 4.8866 Å, 60.00 60.00 60.00°
With the nearest neighbours (Å) after each atom.
Fractional positions:
Se1 0.5000 0.5000 0.5000  4 Y 2.99, 4 Si 2.99
Si1 0.0000 0.0000 0.0000  4 Si 2.99, 4 Y 2.99
Si2 0.2500 0.2500 0.2500  4 Se 2.99, 4 Si 2.99
Y1 0.7500 0.7500 0.7500  4 Si 2.99, 4 Se 2.99

***

DFT (PBE-GGA) results for a relaxed Pr2SmY3As6 crystal.

**Volume**: 315 Å³/cell
**Raw total energy**: -79.89 eV for the cell shown

Cell: 4.2044 8.3975 9.3910 Å, 102.85 102.94 90.00°
With the nearest neighbours (Å) after each atom.
Fractional positions:
Pr1 0.8339 0.6673 0.6677  6 As 3.01-3.02
Pr2 0.1661 0.3327 0.3323  6 As 3.01-3.02
Sm1 0.5000 0.0000 0.0000  6 As 2.99
Y1 0.5000 0.5000 0.0000  6 As 2.93-2.95
Y2 0.8331 0.1662 0.6662  6 As 2.93-2.95
Y3 0.1669 0.8338 0.3338  6 As 2.93-2.95
As1 0.3324 0.9235 0.6648  3 Y 2.93-2.95, 1 Sm 2.99, 2 Pr 3.01
As2 0.6643 0.5894 0.3286  3 Y 2.93, 3 Pr 3.02
As3 0.6676 0.0765 0.3352  3 Y 2.93-2.95, 1 Sm 2.99, 2 Pr 3.01
As4 0.9974 0.2519 0.9947  3 Y 2.93-2.95, 2 Sm 2.99, 1 Pr 3.01
As5 0.0026 0.7481 0.0053  3 Y 2.93-2.95, 2 Sm 2.99, 1 Pr 3.01
As6 0.3357 0.4106 0.6714  3 Y 2.93, 3 Pr 3.02